# 1
A plane-wave DFT calculation with PBE was carried out for Lu4Nb2P3C3 after structural relaxation.

Cell: 10.4466 6.0588 12.8353 Å, 90.00 106.04 90.00°
Space group C2/c (No. 15)
One atom of each set of equivalent atoms:
Lu  0.1208  0.0790  0.1099 x8
Lu  0.2106  0.0859  0.3900 x8
Nb  0.0536  0.4156  0.9067 x8
P  0.0000  0.1117  0.7500 x4
P  0.1528  0.4304  0.2492 x8
C  0.0747  0.2753  0.5000 x8
C  0.2500  0.2500  0.0000 x4

Results
Total magnetization in μB per atom: 0.000
Final energy in eV per atom: -7.655

# 2
A plane-wave DFT calculation with PBE was carried out for RbCoBiS3 after structural relaxation.

Cell: 4.0299 14.5740 10.9533 Å, 90.00 90.00 90.00°
Space group Cmcm (No. 63)
One atom of each set of equivalent atoms:
Rb  0.0000  0.2391  0.2500 x4
Co  0.0000  0.0372  0.7500 x4
Bi  0.0000  0.5000  0.0000 x4
S  0.0000  0.1222  0.5753 x8
S  0.0000  0.4527  0.7500 x4

Results
Total magnetization in μB per atom: 0.499
Final energy in eV per atom: -4.595

> The highest final energy belongs to which entry?

RbCoBiS3

Repeat the first record exactly.
A plane-wave DFT calculation with PBE was carried out for Lu4Nb2P3C3 after structural relaxation.

Cell: 10.4466 6.0588 12.8353 Å, 90.00 106.04 90.00°
Space group C2/c (No. 15)
One atom of each set of equivalent atoms:
Lu  0.1208  0.0790  0.1099 x8
Lu  0.2106  0.0859  0.3900 x8
Nb  0.0536  0.4156  0.9067 x8
P  0.0000  0.1117  0.7500 x4
P  0.1528  0.4304  0.2492 x8
C  0.0747  0.2753  0.5000 x8
C  0.2500  0.2500  0.0000 x4

Results
Total magnetization in μB per atom: 0.000
Final energy in eV per atom: -7.655

> Which value of total magnetization does entry 2 give?

0.499 μB per atom